Entry 1:
This record from Alexandria via LeMat-Bulk describes crystalline Ag2Au3Cl8 at its relaxed geometry. The functional is PBE.

Properties
**Crystal system**: monoclinic

Lattice parameters (Å, degrees): 14.1918 7.5975 15.5226 90.00 106.44 90.00
Space group C2/c (No. 15)
Unique sites:
Ag: 0.1958 0.1275 0.0864 [8 per cell]
Au: 0.0000 0.3379 0.2500 [4 per cell]
Au: 0.2406 0.3850 0.6247 [8 per cell]
Cl: 0.1193 0.4094 0.1506 [8 per cell]
Cl: 0.1274 0.3274 0.3849 [8 per cell]
Cl: 0.1378 0.1491 0.6413 [8 per cell]
Cl: 0.1664 0.1269 0.9046 [8 per cell]

---

Entry 2:
This record from Alexandria via LeMat-Bulk describes crystalline Al4TlSe at its relaxed geometry. The functional is PBE.

Properties
**Crystal system**: cubic

Lattice parameters (Å, degrees): 7.9434 7.9434 7.9434 90.00 90.00 90.00
Space group F-43m (No. 216)
Unique sites:
Al: 0.1252 0.1252 0.1252 [16 per cell]
Tl: 0.0000 0.0000 0.5000 [4 per cell]
Se: 0.2500 0.2500 0.7500 [4 per cell]

---

| no. | uncorrected energy (eV per atom) | E_form (uncorrected) (eV/atom) |
| --- | --- | --- |
| 1 | -2.62 | -0.287 |
| 2 | -3.25 | 0.216 |